[1]
The following is a DFT calculation (PBE-GGA) of an optimized crystal structure of ZnIr2Rh2.

The structure in POSCAR format:
```
ZnIr2Rh2
1.0
7.548 0.000 0.000
0.000 7.548 0.000
0.000 0.000 2.737
Ir Rh Zn
4 4 2
Cartesian
2.450 1.324 1.369
1.324 5.099 1.369
6.224 2.450 1.369
5.099 6.224 1.369
2.848 6.622 0.000
6.622 4.700 0.000
4.700 0.926 0.000
0.926 2.848 0.000
3.774 3.774 0.000
0.000 0.000 0.000
```

Output
As for the energy above the most stable polymorph in this dataset: 211 meV/atom.


[2]
The following is a DFT calculation (PBE-GGA) of an optimized crystal structure of PuMnPd.

The structure in POSCAR format:
```
PuMnPd
1.0
-2.634 -3.048 -1.356
3.097 -2.876 0.450
-2.087 1.901 6.440
Mn Pd Pu
2 2 2
Cartesian
-1.317 -1.524 -0.678
1.548 -1.438 0.225
-0.471 -0.269 1.520
-1.153 -3.754 4.014
-1.283 -0.734 4.141
-0.341 -3.289 1.393
```

Output
As for the energy above the most stable polymorph in this dataset: 0 meV/atom.


[3]
The following is a DFT calculation (PBE-GGA) of an optimized crystal structure of NbFe4W.

The structure in POSCAR format:
```
NbFe4W
1.0
4.770 0.000 0.000
2.385 4.131 0.000
2.385 1.377 3.895
Fe Nb W
4 1 1
Cartesian
5.961 3.441 2.433
3.580 3.441 2.433
4.770 1.380 2.433
4.770 2.754 0.490
0.000 0.000 0.000
2.385 1.377 0.974
```

Output
Its energy is -9.54 eV per atom.


[4]
The following is a DFT calculation (PBE-GGA) of an optimized crystal structure of Y2CrSb.

The structure in POSCAR format:
```
Y2CrSb
1.0
-2.355 1.907 -1.970
1.385 -1.414 -3.024
-5.141 -5.921 0.413
Y Cr Sb
2 1 1
Cartesian
-1.997 -1.495 -2.375
-4.938 -5.687 0.397
-2.813 -3.240 0.226
-4.075 -3.888 -2.208
```

Output
As for the energy relative to the elements, uncorrected: -0.19 eV per formula unit.


[5]
The following is a DFT calculation (PBE-GGA) of an optimized crystal structure of TaTi2In2.

The structure in POSCAR format:
```
TaTi2In2
1.0
5.251 -1.207 0.702
1.456 5.428 0.625
0.811 0.501 3.326
In Ta Ti
2 1 2
Cartesian
4.685 3.474 2.832
2.834 1.248 1.821
0.728 2.714 0.313
2.362 4.638 1.423
5.156 0.083 3.229
```

Output
As for the energy above the most stable polymorph in this dataset: 0 meV/atom.


[6]
The following is a DFT calculation (PBE-GGA) of an optimized crystal structure of Th5GeP4.

The structure in POSCAR format:
```
Th5GeP4
1.0
-3.624 -1.851 0.942
-1.644 0.342 -5.653
6.937 -8.593 0.539
Th P Ge
5 4 1
Cartesian
2.592 -7.246 -4.267
-0.924 -2.856 0.096
-0.822 0.171 -2.826
0.893 -3.555 -3.550
0.775 -6.548 -0.621
-0.067 -6.331 -3.439
-1.772 -2.629 -2.720
1.736 -3.771 -0.733
3.440 -7.474 -1.452
0.000 0.000 0.000
```

Output
Its energy is -7.72 eV per atom.


[7]
The following is a DFT calculation (PBE-GGA) of an optimized crystal structure of BiBO4.

The structure in POSCAR format:
```
BiBO4
1.0
-0.243 -2.154 -4.037
4.547 0.340 -0.455
-1.501 -4.197 4.930
B Bi O
2 2 8
Cartesian
2.599 -2.382 1.115
2.152 -0.907 -2.246
0.000 0.000 0.000
0.204 -3.629 -0.676
1.388 -2.018 0.328
1.125 -1.984 -2.274
0.036 -3.911 3.330
3.214 -3.574 0.469
3.626 -1.304 1.143
3.363 -1.270 -1.460
1.082 -4.855 1.281
2.167 -2.630 2.518
```

Output
As for the energy relative to the elements, uncorrected: -7.44 eV per formula unit.


[8]
The following is a DFT calculation (PBE-GGA) of an optimized crystal structure of Cd2AgAs.

The structure in POSCAR format:
```
Cd2AgAs
1.0
6.883 0.003 0.010
-2.739 4.471 0.019
1.404 0.854 2.653
Cd As Ag
2 1 1
Cartesian
0.000 0.000 0.000
4.143 0.428 1.331
2.072 2.237 0.014
-0.668 2.663 1.336
```

Output
Its energy is -2.25 eV per atom.


Number 1: DOS at the Fermi energy 1.920 states/eV per atom, theoretical density 14.0 g/cm3. Number 2: DOS at the Fermi energy 2.728 states/eV per atom, theoretical density 11.7 g/cm3. Number 3: DOS at the Fermi energy 1.580 states/eV per atom, theoretical density 10.8 g/cm3. Number 4: DOS at the Fermi energy 1.172 states/eV per atom, theoretical density 5.7 g/cm3. Number 5: DOS at the Fermi energy 1.182 states/eV per atom, theoretical density 8.8 g/cm3. Number 6: DOS at the Fermi energy 0.521 states/eV per atom, theoretical density 8.8 g/cm3. Number 7: DOS at the Fermi energy 0.560 states/eV per atom, theoretical density 7.7 g/cm3. Number 8: DOS at the Fermi energy 0.252 states/eV per atom, theoretical density 8.3 g/cm3.